Compound: Ce4Rh2Pb3
Source: Alexandria
Functional: PBE-GGA
Structure: optimized geometry

* E_form: -3.87 eV per formula unit
* crystal system: monoclinic
* symmetry: No. 15
* uncorrected energy: -5.94 eV/atom
* size of the total moment: 1.86 μB per formula unit
* N(E_F): 31.85 states/eV per cell

abc: 6.0279 9.0618 9.0618
angles: 82.18 87.90 87.90
Each line ends with the local moment (μB).
Element x y z (fractional)
1 Ce 0.4256 0.9347 0.2229  0.59
2 Ce 0.0744 0.7771 0.0653  0.59
3 Ce 0.5744 0.0653 0.7771  0.59
4 Ce 0.9256 0.2229 0.9347  0.59
5 Ce 0.2065 0.2435 0.4459  0.26
6 Ce 0.2935 0.5541 0.7565  0.26
7 Ce 0.7935 0.7565 0.5541  0.26
8 Ce 0.7065 0.4459 0.2435  0.26
9 Rh 0.5887 0.1509 0.4593  -0.04
10 Rh 0.9113 0.5407 0.8491  -0.04
11 Rh 0.4113 0.8491 0.5407  -0.04
12 Rh 0.0887 0.4593 0.1509  -0.04
13 Pb 0.9123 0.0326 0.2728  -0.01
14 Pb 0.5877 0.7272 0.9674  -0.01
15 Pb 0.0877 0.9674 0.7272  -0.01
16 Pb 0.4123 0.2728 0.0326  -0.01
17 Pb 0.2500 0.6123 0.3877  -0.01
18 Pb 0.7500 0.3877 0.6123  -0.01